[1]
# SrAcPt | the Open Quantum Materials Database | GGA-PBE | optimized geometry
data_SrAcPt
_cell_length_a 5.162
_cell_length_b 5.162
_cell_length_c 5.162
_cell_angle_alpha 60.00
_cell_angle_beta 60.00
_cell_angle_gamma 60.00
_space_group_name_H-M_alt 'P 1'
_space_group_IT_number 1
loop_
_space_group_symop_operation_xyz
'x,y,z'
loop_
_atom_site_label
_atom_site_fract_x
_atom_site_fract_y
_atom_site_fract_z
_atom_site_occupancy
Pt1 0.250 0.250 0.250 1
Sr1 0.750 0.750 0.750 1
Ac1 0.000 0.000 0.000 1
# spin magnetization: 0.000 μB per atom
# distance to the lowest polymorph of the same formula: 735 meV per atom

---

[2]
# SrAcPt4 | the Open Quantum Materials Database | GGA-PBE | optimized geometry
data_SrAcPt4
_cell_length_a 5.600
_cell_length_b 5.600
_cell_length_c 5.600
_cell_angle_alpha 60.00
_cell_angle_beta 60.00
_cell_angle_gamma 60.00
_space_group_name_H-M_alt 'P 1'
_space_group_IT_number 1
loop_
_space_group_symop_operation_xyz
'x,y,z'
loop_
_atom_site_label
_atom_site_fract_x
_atom_site_fract_y
_atom_site_fract_z
_atom_site_occupancy
Pt1 0.625 0.625 0.625 1
Pt2 0.625 0.625 0.126 1
Pt3 0.625 0.126 0.625 1
Sr1 0.250 0.250 0.250 1
Pt4 0.126 0.625 0.625 1
Ac1 0.000 0.000 0.000 1
# spin magnetization: 0.001 μB per atom
# electronic total energy: -35.705 eV for the cell shown

---

[3]
# AcTaPt | the Open Quantum Materials Database | GGA-PBE | optimized geometry
data_AcTaPt
_cell_length_a 4.741
_cell_length_b 4.741
_cell_length_c 4.741
_cell_angle_alpha 60.00
_cell_angle_beta 60.00
_cell_angle_gamma 60.00
_space_group_name_H-M_alt 'P 1'
_space_group_IT_number 1
loop_
_space_group_symop_operation_xyz
'x,y,z'
loop_
_atom_site_label
_atom_site_fract_x
_atom_site_fract_y
_atom_site_fract_z
_atom_site_occupancy
Ta1 0.250 0.250 0.250 1
Ac1 0.000 0.000 0.000 1
Pt1 0.500 0.500 0.500 1
# spin magnetization: 0.000 μB per atom
# ΔE_f: 0.4375 eV/atom

---

[4]
# AcThPt | the Open Quantum Materials Database | GGA-PBE | optimized geometry
data_AcThPt
_cell_length_a 5.242
_cell_length_b 5.242
_cell_length_c 7.563
_cell_angle_alpha 90.00
_cell_angle_beta 90.00
_cell_angle_gamma 90.00
_space_group_name_H-M_alt 'P 1'
_space_group_IT_number 1
loop_
_space_group_symop_operation_xyz
'x,y,z'
loop_
_atom_site_label
_atom_site_fract_x
_atom_site_fract_y
_atom_site_fract_z
_atom_site_occupancy
Pt1 0.000 0.000 0.000 1
Pt2 0.500 0.500 0.000 1
Th1 0.500 0.000 0.155 1
Ac1 0.000 0.500 0.326 1
Ac2 0.500 0.000 0.674 1
Th2 0.000 0.500 0.845 1
# spin magnetization: 0.005 μB per atom
# distance to the lowest polymorph of the same formula: 0 meV per atom
# ΔE_f: -0.5372 eV/atom